Entry 1:
{
  "formula": "AcZnPb",
  "functional": "PBE",
  "state": "optimized geometry",
  "cell": [[-2.355, 4.176, 4.613], [2.355, -4.176, 4.613], [2.355, 4.176, -4.613]],
  "species": ["Ac", "Ac", "Zn", "Zn", "Pb", "Pb"],
  "frac_coords": [[0.243, 0.243, 0.000], [0.757, 0.757, 0.000], [0.355, 0.000, 0.355], [0.645, 0.000, 0.645], [0.185, 0.500, 0.685], [0.815, 0.500, 0.315]],
  "dos_at_fermi_per_ev_fu": 2.6,
  "sg": "Immm (71)",
  "m_tot_mub_per_cell": 0.00,
  "delta_e_f_mev_per_atom": -387,
  "relative_energy_ev_per_atom": 0.0471
}

---

Entry 2:
{
  "formula": "LiAg2Bi",
  "functional": "PBE",
  "state": "optimized geometry",
  "cell": [[-2.166, 2.166, 4.351], [2.166, -2.166, 4.351], [2.166, 2.166, -4.351]],
  "species": ["Li", "Ag", "Ag", "Bi"],
  "frac_coords": [[0.000, 0.000, 0.000], [0.250, 0.750, 0.500], [0.750, 0.250, 0.500], [0.500, 0.500, 0.000]],
  "dos_at_fermi_per_ev_fu": 0.8,
  "sg": "I4/mmm (139)",
  "m_tot_mub_per_cell": 0.00,
  "delta_e_f_mev_per_atom": -156,
  "relative_energy_ev_per_atom": 0.0198
}

---

Entry 3:
{
  "formula": "Cr2CoAu",
  "functional": "PBE",
  "state": "optimized geometry",
  "cell": [[1.325, 0.765, 8.645], [-1.325, 0.765, 8.645], [0.000, -1.530, 8.645]],
  "species": ["Cr", "Cr", "Co", "Au"],
  "frac_coords": [[0.242, 0.242, 0.242], [0.758, 0.758, 0.758], [0.500, 0.500, 0.500], [0.000, 0.000, 0.000]],
  "dos_at_fermi_per_ev_fu": 4.8,
  "sg": "R-3m (166)",
  "m_tot_mub_per_cell": 0.29,
  "delta_e_f_mev_per_atom": 446,
  "relative_energy_ev_per_atom": 0.2800
}

---

Entry 4:
{
  "formula": "NpGa9Fe2",
  "functional": "PBE",
  "state": "optimized geometry",
  "cell": [[6.316, -5.345, 0.000], [6.316, 5.345, 0.000], [-3.601, 0.000, 5.716]],
  "species": ["Np", "Np", "Ga", "Ga", "Ga", "Ga", "Ga", "Ga", "Ga", "Ga", "Ga", "Ga", "Ga", "Ga", "Ga", "Ga", "Ga", "Ga", "Ga", "Ga", "Fe", "Fe", "Fe", "Fe"],
  "frac_coords": [[0.249, 0.249, 0.374], [0.751, 0.751, 0.626], [0.064, 0.677, 0.438], [0.064, 0.823, 0.126], [0.177, 0.564, 0.802], [0.177, 0.936, 0.874], [0.250, 0.250, 0.875], [0.323, 0.564, 0.262], [0.323, 0.936, 0.562], [0.436, 0.677, 0.738], [0.436, 0.823, 0.198], [0.564, 0.177, 0.802], [0.564, 0.323, 0.262], [0.677, 0.064, 0.438], [0.677, 0.436, 0.738], [0.750, 0.750, 0.125], [0.823, 0.064, 0.126], [0.823, 0.436, 0.198], [0.936, 0.177, 0.874], [0.936, 0.323, 0.562], [0.000, 0.000, 0.500], [0.000, 0.500, 0.000], [0.500, 0.000, 0.000], [0.500, 0.500, 0.000]],
  "dos_at_fermi_per_ev_fu": 15.3,
  "sg": "C2/m (12)",
  "m_tot_mub_per_cell": 11.72,
  "delta_e_f_mev_per_atom": -45
}

---

Entry 5:
{
  "formula": "PtWCl2",
  "functional": "PBE",
  "state": "optimized geometry",
  "cell": [[1.481, 0.855, 9.622], [-1.481, 0.855, 9.622], [0.000, -1.710, 9.622]],
  "species": ["Pt", "W", "Cl", "Cl"],
  "frac_coords": [[0.000, 0.000, 0.000], [0.500, 0.500, 0.500], [0.229, 0.229, 0.229], [0.771, 0.771, 0.771]],
  "dos_at_fermi_per_ev_fu": 4.9,
  "raw_formation_energy_mev_per_atom": 308,
  "sg": "R-3m (166)",
  "m_tot_mub_per_cell": 0.63,
  "relative_energy_ev_per_atom": 0.4668
}

---

Entry 6:
{
  "formula": "MnNbCoHSe",
  "functional": "PBE",
  "state": "optimized geometry",
  "cell": [[3.574, 0.000, 0.000], [0.000, 3.722, 0.000], [-1.767, 0.000, 4.703]],
  "species": ["Mn", "Nb", "Co", "H", "Se"],
  "frac_coords": [[0.000, 0.000, 0.000], [0.293, 0.500, 0.621], [0.731, 0.000, 0.447], [0.545, 0.000, 0.693], [0.566, 0.500, 0.165]],
  "dos_at_fermi_per_ev_fu": 2.6,
  "sg": "Pm (6)",
  "m_tot_mub_per_cell": 2.61,
  "relative_energy_ev_per_atom": 0.0220
}

---

Entry 7:
{
  "formula": "YMg3Sn6",
  "functional": "PBE",
  "state": "optimized geometry",
  "cell": [[10.113, 0.000, 0.000], [0.000, 4.492, 0.000], [-0.488, 0.000, 11.072]],
  "species": ["Y", "Y", "Mg", "Mg", "Mg", "Mg", "Mg", "Mg", "Sn", "Sn", "Sn", "Sn", "Sn", "Sn", "Sn", "Sn", "Sn", "Sn", "Sn", "Sn"],
  "frac_coords": [[0.054, 0.250, 0.375], [0.946, 0.750, 0.625], [0.254, 0.250, 0.000], [0.353, 0.750, 0.801], [0.453, 0.250, 0.597], [0.547, 0.750, 0.403], [0.647, 0.250, 0.199], [0.746, 0.750, 0.000], [0.067, 0.750, 0.904], [0.154, 0.750, 0.189], [0.174, 0.250, 0.689], [0.255, 0.750, 0.499], [0.363, 0.250, 0.302], [0.450, 0.750, 0.097], [0.550, 0.250, 0.903], [0.637, 0.750, 0.698], [0.745, 0.250, 0.501], [0.826, 0.750, 0.311], [0.846, 0.250, 0.811], [0.933, 0.250, 0.096]],
  "dos_at_fermi_per_ev_fu": 4.3,
  "sg": "P2_1/m (11)",
  "m_tot_mub_per_cell": 0.00,
  "delta_e_f_mev_per_atom": -208
}

---

Entry 8:
{
  "formula": "PuAlNi2",
  "functional": "PBE",
  "state": "optimized geometry",
  "cell": [[2.966, 0.000, 0.000], [0.000, 2.966, 0.000], [0.000, 0.000, 6.819]],
  "species": ["Pu", "Al", "Ni", "Ni"],
  "frac_coords": [[0.000, 0.000, 0.000], [0.000, 0.000, 0.500], [0.500, 0.500, 0.303], [0.500, 0.500, 0.697]],
  "dos_at_fermi_per_ev_fu": 8.2,
  "sg": "P4/mmm (123)",
  "m_tot_mub_per_cell": 5.26,
  "delta_e_f_mev_per_atom": -318
}

---

Entry 9:
{
  "formula": "CaEuBi2",
  "functional": "PBE",
  "state": "optimized geometry",
  "cell": [[3.809, 0.000, 0.000], [0.000, 3.809, 0.000], [0.000, 0.000, 8.835]],
  "species": ["Ca", "Eu", "Bi", "Bi"],
  "frac_coords": [[0.000, 0.000, 0.000], [0.000, 0.000, 0.500], [0.500, 0.500, 0.244], [0.500, 0.500, 0.756]],
  "dos_at_fermi_per_ev_fu": 5.9,
  "sg": "P4/mmm (123)",
  "m_tot_mub_per_cell": 7.03,
  "delta_e_f_mev_per_atom": -735,
  "relative_energy_ev_per_atom": 0.0038
}

---

Entry 10:
{
  "formula": "Ca2FeRh",
  "functional": "PBE",
  "state": "optimized geometry",
  "cell": [[0.000, 3.419, 3.419], [3.419, 0.000, 3.419], [3.419, 3.419, 0.000]],
  "species": ["Ca", "Ca", "Fe", "Rh"],
  "frac_coords": [[0.000, 0.000, 0.000], [0.250, 0.250, 0.250], [0.750, 0.750, 0.750], [0.500, 0.500, 0.500]],
  "dos_at_fermi_per_ev_fu": 3.6,
  "sg": "F-43m (216)",
  "m_tot_mub_per_cell": 2.94,
  "delta_e_f_mev_per_atom": 234
}

---

Entry 11:
{
  "formula": "Zr3AuCl",
  "functional": "PBE",
  "state": "optimized geometry",
  "cell": [[4.758, 0.000, 0.000], [0.000, 4.758, 0.000], [0.000, 0.000, 4.758]],
  "species": ["Zr", "Zr", "Zr", "Au", "Cl"],
  "frac_coords": [[0.000, 0.000, 0.500], [0.000, 0.500, 0.000], [0.500, 0.000, 0.000], [0.500, 0.500, 0.500], [0.000, 0.000, 0.000]],
  "dos_at_fermi_per_ev_fu": 5.6,
  "raw_formation_energy_mev_per_atom": -66,
  "sg": "Pm-3m (221)",
  "m_tot_mub_per_cell": 0.00,
  "relative_energy_ev_per_atom": 0.0000
}

---

Entry 12:
{
  "formula": "GaPCl3",
  "functional": "PBE",
  "state": "optimized geometry",
  "cell": [[4.975, 0.000, 0.000], [0.000, 4.975, 0.000], [0.000, 0.000, 4.975]],
  "species": ["Ga", "P", "Cl", "Cl", "Cl"],
  "frac_coords": [[0.000, 0.000, 0.000], [0.500, 0.500, 0.500], [0.000, 0.500, 0.500], [0.500, 0.000, 0.500], [0.500, 0.500, 0.000]],
  "dos_at_fermi_per_ev_fu": 1.6,
  "raw_formation_energy_mev_per_atom": -265,
  "sg": "Pm-3m (221)",
  "m_tot_mub_per_cell": 0.00,
  "relative_energy_ev_per_atom": 0.0000
}

---

| no. | E (eV/f.u.) |
| --- | --- |
| 1 | -10.3 |
| 2 | -12.1 |
| 3 | -27.8 |
| 4 | -57.6 |
| 5 | -21.5 |
| 6 | -33.7 |
| 7 | -37.3 |
| 8 | -30.9 |
| 9 | -23.0 |
| 10 | -18.9 |
| 11 | -31.1 |
| 12 | -15.3 |